## a
# KZrMn2 | Alexandria via LeMat-Bulk | PBE | optimized geometry
# DOS at the Fermi energy = 4.687 states/eV/f.u.
data_KZrMn2
_space_group_name_H-M_alt 'R 3 m'
_space_group_IT_number 160
_space_group_name_Hall 'R 3 -2"'
_cell_length_a 3.7010
_cell_length_b 3.7010
_cell_length_c 24.7915
_cell_angle_alpha 90.00
_cell_angle_beta 90.00
_cell_angle_gamma 120.00
loop_
_atom_site_label
_atom_site_type_symbol
_atom_site_fract_x
_atom_site_fract_y
_atom_site_fract_z
K1 K 0.0000 0.0000 0.0000
Zr1 Zr 0.0000 0.0000 0.1869
Mn1 Mn 0.0000 0.0000 0.4483
Mn2 Mn 0.0000 0.0000 0.7829



## b
# KZrMn2 | Alexandria via LeMat-Bulk | PBE | optimized geometry
# DOS at the Fermi energy = 2.894 states/eV/f.u.
data_KZrMn2
_space_group_name_H-M_alt 'I -4 m 2'
_space_group_IT_number 119
_space_group_name_Hall 'I -4 -2'
_cell_length_a 4.3442
_cell_length_b 4.3442
_cell_length_c 9.2843
_cell_angle_alpha 90.00
_cell_angle_beta 90.00
_cell_angle_gamma 90.00
loop_
_atom_site_label
_atom_site_type_symbol
_atom_site_fract_x
_atom_site_fract_y
_atom_site_fract_z
K1 K 0.0000 0.0000 0.0000
Zr1 Zr 0.0000 0.5000 0.2500
Mn1 Mn 0.0000 0.0000 0.5000
Mn2 Mn 0.0000 0.5000 0.7500



Name the least stable of them. b.



## a
# K3ZrMn | Alexandria via LeMat-Bulk | PBE | optimized geometry
# DOS at the Fermi energy = 5.397 states/eV/f.u.
data_K3ZrMn
_space_group_name_H-M_alt 'P m -3 m'
_space_group_IT_number 221
_space_group_name_Hall '-P 4 2 3'
_cell_length_a 6.7785
_cell_length_b 6.7785
_cell_length_c 6.7785
_cell_angle_alpha 90.00
_cell_angle_beta 90.00
_cell_angle_gamma 90.00
loop_
_atom_site_label
_atom_site_type_symbol
_atom_site_fract_x
_atom_site_fract_y
_atom_site_fract_z
K1 K 0.0000 0.0000 0.5000
Zr1 Zr 0.0000 0.0000 0.0000
Mn1 Mn 0.5000 0.5000 0.5000



## b
# K3ZrMn | Alexandria via LeMat-Bulk | PBE | optimized geometry
# DOS at the Fermi energy = 6.373 states/eV/f.u.
data_K3ZrMn
_space_group_name_H-M_alt 'P m -3 m'
_space_group_IT_number 221
_space_group_name_Hall '-P 4 2 3'
_cell_length_a 6.3721
_cell_length_b 6.3721
_cell_length_c 6.3721
_cell_angle_alpha 90.00
_cell_angle_beta 90.00
_cell_angle_gamma 90.00
loop_
_atom_site_label
_atom_site_type_symbol
_atom_site_fract_x
_atom_site_fract_y
_atom_site_fract_z
K1 K 0.0000 0.0000 0.5000
Zr1 Zr 0.5000 0.5000 0.5000
Mn1 Mn 0.0000 0.0000 0.0000



Name the least stable of them. a.